# 1
Entry from Alexandria: a geometry-optimized MoPBr2 structure (GGA-PBE).

Cell lengths 8.525, 3.226, 7.957 Å; angles 90.00, 106.65, 90.00 degrees
Space group Cm (No. 8)
One atom of each set of equivalent atoms:
Mo 0.000 0.000 0.000
P 0.208 0.500 0.000
Br 0.027 0.500 0.274
Br 0.381 0.000 0.726

Summary:
crystal system	monoclinic

# 2
Entry from Alexandria: a geometry-optimized MoPBr2 structure (GGA-PBE).

Cell lengths 6.612, 6.612, 6.612 Å; angles 90.00, 90.00, 90.00 degrees
Space group Fm-3m (No. 225)
One atom of each set of equivalent atoms:
Mo 0.000 0.000 0.000
P 0.000 0.000 0.500
Br 0.250 0.250 0.250

Summary:
crystal system	cubic

# 3
Entry from Alexandria: a geometry-optimized MoP3Br structure (GGA-PBE).

Cell lengths 4.696, 4.696, 4.696 Å; angles 90.00, 90.00, 90.00 degrees
Space group Pm-3m (No. 221)
One atom of each set of equivalent atoms:
Mo 0.000 0.000 0.000
P 0.000 0.500 0.500
Br 0.500 0.500 0.500

Summary:
crystal system	cubic

Number 1: raw formation energy -197 meV/atom, total magnetic moment 0.00 μB/f.u.. Number 2: raw formation energy 982 meV/atom, total magnetic moment 0.00 μB/f.u.. Number 3: raw formation energy 1784 meV/atom, total magnetic moment 2.34 μB/f.u..